## La2MgP (PBE-GGA)

Data for crystalline La2MgP at its relaxed geometry.

Calculated values
Space-group type: F-43m
E, eV/atom: -4.22
DOS(E_F), states/eV/cell: 5.9
Density, g cm⁻³: 5.5

Cell: 5.2218 5.2218 5.2218 Å, 60.00 60.00 60.00°
Atoms (fractional coordinates):
La 0.0000 0.0000 0.0000
La 0.2500 0.2500 0.2500
Mg 0.5000 0.5000 0.5000
P 0.7500 0.7500 0.7500

=====

## LaMgP (PBE-GGA)

Data for crystalline LaMgP at its relaxed geometry.

Calculated values
Space-group type: F-43m
E, eV/atom: -4.59
DOS(E_F), states/eV/cell: 2.0
Density, g cm⁻³: 4.3

Cell: 4.7457 4.7457 4.7457 Å, 60.00 60.00 60.00°
Atoms (fractional coordinates):
La 0.0000 0.0000 0.0000
Mg 0.5000 0.5000 0.5000
P 0.7500 0.7500 0.7500

=====

## La2MgP (PBE-GGA)

Data for crystalline La2MgP at its relaxed geometry.

Calculated values
Space-group type: Cmm2
E, eV/atom: -4.58
DOS(E_F), states/eV/cell: 4.2
Density, g cm⁻³: 4.8

Cell: 3.5928 3.5928 9.0426 Å, 90.00 90.00 101.72°
Atoms (fractional coordinates):
La 0.0000 0.0000 0.9232
La 0.5000 0.5000 0.2852
Mg 0.0000 0.0000 0.5671
P 0.5000 0.5000 0.7244

=====

## LaMgP (PBE-GGA)

Data for crystalline LaMgP at its relaxed geometry.

Calculated values
Space-group type: R-3m
E, eV/atom: -4.74
DOS(E_F), states/eV/cell: 2.8
Density, g cm⁻³: 3.5

Cell: 5.0142 5.0142 8.9201 Å, 73.68 73.68 60.00°
Atoms (fractional coordinates):
La 0.6044 0.6044 0.1869
La 0.3956 0.3956 0.8131
P 0.2824 0.2824 0.1529
P 0.7176 0.7176 0.8471
Mg 0.8183 0.8183 0.5451
Mg 0.1817 0.1817 0.4549

=====

## LaMgP2 (PBE-GGA)

Data for crystalline LaMgP2 at its relaxed geometry.

Calculated values
Space-group type: R-3m
E, eV/atom: -5.17
DOS(E_F), states/eV/cell: 4.0
Density, g cm⁻³: 4.1

Cell: 4.2555 4.2555 6.3345 Å, 70.35 70.35 59.99°
Atoms (fractional coordinates):
La 0.7500 0.7500 0.7500
Mg 0.2500 0.2500 0.2500
P 0.9896 0.9896 0.0305
P 0.5104 0.5104 0.4695

=====

## LaMgP2 (PBE-GGA)

Data for crystalline LaMgP2 at its relaxed geometry.

Calculated values
Space-group type: P4/mmm
E, eV/atom: -5.09
DOS(E_F), states/eV/cell: 3.8
Density, g cm⁻³: 3.8

Cell: 4.1504 4.1549 5.6557 Å, 90.00 90.00 90.00°
Atoms (fractional coordinates):
La 0.0000 0.0000 0.3754
Mg 0.5000 0.5000 0.8748
P 0.0000 0.0000 0.8753
P 0.5000 0.5000 0.3746

=====

## LaMgP2 (PBE-GGA)

Data for crystalline LaMgP2 at its relaxed geometry.

Calculated values
Space-group type: P4/mmm
E, eV/atom: -4.96
DOS(E_F), states/eV/cell: 3.0
Density, g cm⁻³: 4.6

Cell: 3.6151 3.6151 6.1624 Å, 90.00 90.00 90.00°
Atoms (fractional coordinates):
La 0.5000 0.5000 0.2500
Mg 0.5000 0.5000 0.7500
P 0.0000 0.0000 0.9494
P 0.0000 0.0000 0.5506

=====

## LaMg3P (PBE-GGA)

Data for crystalline LaMg3P at its relaxed geometry.

Calculated values
Space-group type: Pm-3m
E, eV/atom: -3.05
DOS(E_F), states/eV/cell: 3.7
Density, g cm⁻³: 3.1

Cell: 5.0827 5.0827 5.0827 Å, 90.00 90.00 90.00°
Atoms (fractional coordinates):
P 0.0000 0.0000 0.0000
Mg 0.0000 0.5000 0.0000
Mg 0.0000 0.0000 0.5000
Mg 0.5000 0.0000 0.0000
La 0.5000 0.5000 0.5000

=====

## LaMgP2 (PBE-GGA)

Data for crystalline LaMgP2 at its relaxed geometry.

Calculated values
Space-group type: P4/mmm
E, eV/atom: -5.04
DOS(E_F), states/eV/cell: 2.8
Density, g cm⁻³: 4.4

Cell: 4.7385 4.7381 3.7731 Å, 90.00 90.00 90.00°
Atoms (fractional coordinates):
La 0.5000 0.0000 0.5000
Mg 0.0000 0.5000 0.5000
P 0.0000 0.0000 0.0000
P 0.5000 0.5000 0.0000

=====

## LaMg3P (PBE-GGA)

Data for crystalline LaMg3P at its relaxed geometry.

Calculated values
Space-group type: Pm-3m
E, eV/atom: -1.53
DOS(E_F), states/eV/cell: 7.2
Density, g cm⁻³: 1.7

Cell: 6.1521 6.1521 6.1521 Å, 90.00 90.00 90.00°
Last column: magnetic moment on the atom in μB.
Atoms (fractional coordinates):
P 0.5000 0.5000 0.5000  0.68
Mg 0.0000 0.5000 0.0000  0.00
Mg 0.0000 0.0000 0.5000  0.00
Mg 0.5000 0.0000 0.0000  -0.03
La 0.0000 0.0000 0.0000  -0.46

=====

## LaMgP4 (PBE-GGA)

Data for crystalline LaMgP4 at its relaxed geometry.

Calculated values
Space-group type: Amm2
E, eV/atom: -5.13
DOS(E_F), states/eV/cell: 4.3
Density, g cm⁻³: 3.7

Cell: 9.5980 11.0873 4.0305 Å, 90.00 90.00 115.65°
Atoms (fractional coordinates):
P 0.3941 0.1755 0.5000
P 0.7615 0.1666 0.5000
P 0.7327 0.5521 0.5000
P 0.2186 0.8245 0.5000
P 0.5949 0.8334 0.5000
P 0.1806 0.4479 0.5000
P 0.0610 0.4403 0.0000
P 0.6208 0.5597 0.0000
P 0.3504 0.0000 0.0000
P 0.9510 0.7650 0.5000
P 0.1859 0.2350 0.5000
P 0.8301 0.0000 0.5000
Mg 0.0116 0.6522 0.0000
Mg 0.3594 0.3478 0.0000
Mg 0.6270 0.0000 0.0000
La 0.6930 0.3161 0.0000
La 0.3769 0.6839 0.0000
La 0.0505 0.0000 0.0000

=====

## LaMgP4 (PBE-GGA)

Data for crystalline LaMgP4 at its relaxed geometry.

Calculated values
Space-group type: F-43m
E, eV/atom: -4.87
DOS(E_F), states/eV/cell: 3.9
Density, g cm⁻³: 4.2

Cell: 5.4172 5.4172 5.4172 Å, 60.00 60.00 60.00°
Atoms (fractional coordinates):
La 0.7500 0.7500 0.7500
Mg 0.0000 0.0000 0.0000
P 0.9097 0.3634 0.3634
P 0.3634 0.3634 0.9097
P 0.3634 0.9097 0.3634
P 0.3634 0.3634 0.3634

=====

## La2MgP (PBE-GGA)

Data for crystalline La2MgP at its relaxed geometry.

Calculated values
Space-group type: I-4m2
E, eV/atom: -4.67
DOS(E_F), states/eV/cell: 3.6
Density, g cm⁻³: 5.3

Cell: 6.1111 6.1111 6.1111 Å, 137.17 137.17 62.18°
Atoms (fractional coordinates):
La 0.0000 0.0000 0.0000
La 0.2500 0.7500 0.5000
Mg 0.5000 0.5000 0.0000
P 0.7500 0.2500 0.5000

=====

## La2MgP (PBE-GGA)

Data for crystalline La2MgP at its relaxed geometry.

Calculated values
Space-group type: Fm-3m
E, eV/atom: -4.65
DOS(E_F), states/eV/cell: 3.9
Density, g cm⁻³: 5.3

Cell: 5.2994 5.2994 5.2994 Å, 60.00 60.00 60.00°
Atoms (fractional coordinates):
P 0.5000 0.5000 0.5000
Mg 0.0000 0.0000 0.0000
La 0.2500 0.2500 0.2500
La 0.7500 0.7500 0.7500

=====

## LaMgP (PBE-GGA)

Data for crystalline LaMgP at its relaxed geometry.

Calculated values
Space-group type: I4mm
E, eV/atom: -4.52
DOS(E_F), states/eV/cell: 1.1
Density, g cm⁻³: 4.3

Cell: 6.3375 6.3375 6.3375 Å, 147.17 147.17 47.12°
Atoms (fractional coordinates):
La 0.0304 0.0304 0.0000
Mg 0.2978 0.2978 0.0000
P 0.6718 0.6718 0.0000

=====

## La2Mg2P (PBE-GGA)

Data for crystalline La2Mg2P at its relaxed geometry.

Calculated values
Space-group type: P4/mbm
E, eV/atom: -3.94
DOS(E_F), states/eV/cell: 8.9
Density, g cm⁻³: 3.8

Cell: 7.5599 7.5599 5.4737 Å, 90.00 90.00 90.00°
Atoms (fractional coordinates):
La 0.8479 0.3479 0.0000
La 0.1521 0.6521 0.0000
La 0.3479 0.1521 0.0000
La 0.6521 0.8479 0.0000
Mg 0.6494 0.1494 0.5000
Mg 0.3506 0.8506 0.5000
Mg 0.1494 0.3506 0.5000
Mg 0.8506 0.6494 0.5000
P 0.0000 0.0000 0.0000
P 0.5000 0.5000 0.0000

=====

## LaMgP (PBE-GGA)

Data for crystalline LaMgP at its relaxed geometry.

Calculated values
Space-group type: P-62m
E, eV/atom: -4.58
DOS(E_F), states/eV/cell: 1.9
Density, g cm⁻³: 3.9

Cell: 7.9935 7.9935 4.5096 Å, 90.00 90.00 120.00°
Atoms (fractional coordinates):
La 0.6667 0.3333 0.0000
La 0.3333 0.6667 0.0000
La 0.0000 0.0000 0.5000
Mg 0.0000 0.5635 0.5000
Mg 0.4365 0.4365 0.5000
Mg 0.5635 0.0000 0.5000
P 0.0000 0.7255 0.0000
P 0.2745 0.2745 0.0000
P 0.7255 0.0000 0.0000

=====

## LaMgP2 (PBE-GGA)

Data for crystalline LaMgP2 at its relaxed geometry.

Calculated values
Space-group type: Cmmm
E, eV/atom: -5.00
DOS(E_F), states/eV/cell: 2.0
Density, g cm⁻³: 4.2

Cell: 3.6496 3.6496 6.8756 Å, 90.00 90.00 105.80°
Atoms (fractional coordinates):
La 0.5000 0.5000 0.2500
Mg 0.5000 0.5000 0.7500
P 0.0000 0.0000 0.9786
P 0.0000 0.0000 0.5214

=====

## La2MgP (PBE-GGA)

Data for crystalline La2MgP at its relaxed geometry.

Calculated values
Space-group type: R3m
E, eV/atom: -4.93
DOS(E_F), states/eV/cell: 4.4
Density, g cm⁻³: 4.3

Cell: 4.1026 4.1026 9.1085 Å, 76.98 76.98 60.00°
Atoms (fractional coordinates):
La 0.0638 0.0638 0.8087
La 0.2694 0.2694 0.1918
Mg 0.5003 0.5003 0.4992
P 0.6666 0.6666 0.0002

=====

## LaMgP2 (PBE-GGA)

Data for crystalline LaMgP2 at its relaxed geometry.

Calculated values
Space-group type: Immm
E, eV/atom: -5.12
DOS(E_F), states/eV/cell: 1.4
Density, g cm⁻³: 4.3

Cell: 4.9144 4.9144 4.9144 Å, 124.31 107.63 97.67°
Atoms (fractional coordinates):
La 0.2500 0.7500 0.5000
Mg 0.7500 0.2500 0.5000
P 0.9386 0.9386 0.0000
P 0.5614 0.5614 0.0000

=====

## La2MgP (PBE-GGA)

Data for crystalline La2MgP at its relaxed geometry.

Calculated values
Space-group type: P4mm
E, eV/atom: -4.57
DOS(E_F), states/eV/cell: 4.9
Density, g cm⁻³: 5.0

Cell: 3.5904 3.5904 8.5899 Å, 90.00 90.00 90.00°
Atoms (fractional coordinates):
La 0.0000 0.0000 0.9227
La 0.5000 0.5000 0.2961
Mg 0.0000 0.0000 0.5674
P 0.5000 0.5000 0.7138

=====

## LaMgP2 (PBE-GGA)

Data for crystalline LaMgP2 at its relaxed geometry.

Calculated values
Space-group type: P2/m
E, eV/atom: -4.99
DOS(E_F), states/eV/cell: 1.1
Density, g cm⁻³: 4.3

Cell: 3.7745 3.1759 7.3199 Å, 78.97 90.00 90.00°
Atoms (fractional coordinates):
La 0.5000 0.2500 0.2500
Mg 0.5000 0.7500 0.7500
P 0.0000 0.8952 0.9878
P 0.0000 0.6048 0.5122

=====

## LaMgP2 (PBE-GGA)

Data for crystalline LaMgP2 at its relaxed geometry.

Calculated values
Space-group type: F-43m
E, eV/atom: -4.48
DOS(E_F), states/eV/cell: 3.5
Density, g cm⁻³: 4.5

Cell: 4.9050 4.9050 4.9050 Å, 60.00 60.00 60.00°
Atoms (fractional coordinates):
La 0.5000 0.5000 0.5000
Mg 0.2500 0.2500 0.2500
P 0.0000 0.0000 0.0000
P 0.7500 0.7500 0.7500

=====

## LaMgP2 (PBE-GGA)

Data for crystalline LaMgP2 at its relaxed geometry.

Calculated values
Space-group type: I-42d
E, eV/atom: -4.86
DOS(E_F), states/eV/cell: 7.6
Density, g cm⁻³: 3.2

Cell: 5.6933 5.6933 8.2349 Å, 69.78 69.78 90.00°
Last column: magnetic moment on the atom in μB.
Atoms (fractional coordinates):
P 0.5734 0.1250 0.2500  0.17
P 0.1766 0.6250 0.2500  0.17
P 0.3750 0.4266 0.7500  0.22
P 0.8750 0.8234 0.7500  0.21
Mg 0.5000 0.5000 0.0000  0.00
Mg 0.2500 0.7500 0.5000  0.00
La 0.0000 0.0000 0.0000  0.10
La 0.7500 0.2500 0.5000  0.11

=====

## LaMgP (PBE-GGA)

Data for crystalline LaMgP at its relaxed geometry.

Calculated values
Space-group type: Fmm2
E, eV/atom: -4.55
DOS(E_F), states/eV/cell: 0.5
Density, g cm⁻³: 4.2

Cell: 6.6696 6.4566 3.5927 Å, 77.41 70.87 31.72°
Atoms (fractional coordinates):
La 0.0284 0.0284 0.9716
Mg 0.2990 0.2990 0.7010
P 0.6727 0.6727 0.3273

=====

## LaMgP2 (PBE-GGA)

Data for crystalline LaMgP2 at its relaxed geometry.

Calculated values
Space-group type: I-4m2
E, eV/atom: -4.96
DOS(E_F), states/eV/cell: 2.1
Density, g cm⁻³: 4.3

Cell: 5.9485 5.9485 5.9485 Å, 139.92 139.90 57.99°
Atoms (fractional coordinates):
La 0.5000 0.5000 0.0000
Mg 0.7502 0.2502 0.5000
P 0.9999 0.9999 0.0000
P 0.2499 0.7499 0.5000

=====

## La2MgP (PBE-GGA)

Data for crystalline La2MgP at its relaxed geometry.

Calculated values
Space-group type: P6_3/mmc
E, eV/atom: -4.92
DOS(E_F), states/eV/cell: 8.8
Density, g cm⁻³: 4.3

Cell: 4.0995 4.0995 17.7779 Å, 90.00 90.00 120.00°
Last column: magnetic moment on the atom in μB.
Atoms (fractional coordinates):
La 0.6667 0.3333 0.5953  0.06
La 0.3333 0.6667 0.0953  0.06
La 0.3333 0.6667 0.4047  0.06
La 0.6667 0.3333 0.9047  0.06
Mg 0.6667 0.3333 0.2500  0.01
Mg 0.3333 0.6667 0.7500  0.01
P 0.0000 0.0000 0.0000  0.00
P 0.0000 0.0000 0.5000  0.00

=====

## La2MgP (PBE-GGA)

Data for crystalline La2MgP at its relaxed geometry.

Calculated values
Space-group type: I-42d
E, eV/atom: -4.65
DOS(E_F), states/eV/cell: 10.0
Density, g cm⁻³: 4.5

Cell: 8.5044 8.5044 6.9131 Å, 52.04 52.04 90.00°
Atoms (fractional coordinates):
P 0.0000 0.0000 0.0000
P 0.7500 0.2500 0.5000
Mg 0.5000 0.5000 0.0000
Mg 0.2500 0.7500 0.5000
La 0.6768 0.1250 0.2500
La 0.0732 0.6250 0.2500
La 0.3750 0.3232 0.7500
La 0.8750 0.9268 0.7500